Record 1
# TiIClO2

A PBEsol-optimized structure of TiIClO2 (meta-GGA SCAN, Alexandria).

Unit cell a=3.850 b=3.850 c=5.871 alpha=90.00 beta=90.00 gamma=90.00
Space group P4/mmm (No. 123)
Symmetry-distinct sites (fractional):
Ti 0.000 0.000 0.000 [1 per cell]
I 0.000 0.000 0.500 [1 per cell]
Cl 0.500 0.500 0.500 [1 per cell]
O 0.000 0.500 0.000 [2 per cell]

Output
**Energy relative to the elements, uncorrected**: -1333 meV/atom
**Density**: 4.6 g/cm³



Record 2
# OsI2Cl2

A PBEsol-optimized structure of OsI2Cl2 (meta-GGA SCAN, Alexandria).

Unit cell a=4.054 b=4.054 c=18.861 alpha=90.00 beta=90.00 gamma=90.00
Space group I4/mmm (No. 139)
Symmetry-distinct sites (fractional):
Os 0.000 0.000 0.000 [2 per cell]
I 0.000 0.500 0.250 [4 per cell]
Cl 0.000 0.000 0.421 [4 per cell]

Output
**Energy relative to the elements, uncorrected**: 1278 meV/atom
**Density**: 5.5 g/cm³



Record 3
# OsSICl2

A PBEsol-optimized structure of OsSICl2 (meta-GGA SCAN, Alexandria).

Unit cell a=4.795 b=4.795 c=4.523 alpha=90.00 beta=90.00 gamma=90.00
Space group P4/mmm (No. 123)
Symmetry-distinct sites (fractional):
Os 0.000 0.000 0.000 [1 per cell]
S 0.000 0.000 0.500 [1 per cell]
I 0.500 0.500 0.500 [1 per cell]
Cl 0.000 0.500 0.000 [2 per cell]

Output
**Energy relative to the elements, uncorrected**: 331 meV/atom
**Density**: 6.7 g/cm³